No. 1
Density functional theory data (PBE) for a relaxed YThZnIr crystal.

Output
final energy	-104.388	eV/cell
DFT formation energy	-520	meV/atom

Unit cell a=7.1345 b=7.1345 c=7.1345 alpha=90.00 beta=90.00 gamma=90.00
Space group F-43m (No. 216)
One atom of each set of equivalent atoms:
Y: 0.0000 0.0000 0.0000 (multiplicity 4)
Th: 0.0000 0.0000 0.5000 (multiplicity 4)
Zn: 0.2500 0.2500 0.2500 (multiplicity 4)
Ir: 0.2500 0.2500 0.7500 (multiplicity 4)



No. 2
Density functional theory data (PBE) for a relaxed FeRe2Ru crystal.

Output
final energy	-164.202	eV/cell
DFT formation energy	396	meV/atom

Unit cell a=6.0932 b=6.0932 c=6.0932 alpha=90.00 beta=90.00 gamma=90.00
Space group Fm-3m (No. 225)
One atom of each set of equivalent atoms:
Fe: 0.0000 0.0000 0.0000 (multiplicity 4)
Re: 0.2500 0.2500 0.2500 (multiplicity 8)
Ru: 0.0000 0.0000 0.5000 (multiplicity 4)



No. 3
Density functional theory data (PBE) for a relaxed TiSnS2 crystal.

Output
final energy	-22.797	eV/cell
raw formation energy	-0.661	eV per atom

Unit cell a=3.6006 b=3.6006 c=8.6566 alpha=90.00 beta=90.00 gamma=120.00
Space group P3m1 (No. 156)
One atom of each set of equivalent atoms:
Ti: 0.0000 0.0000 0.0000 (multiplicity 1)
Sn: 0.6667 0.3333 0.4718 (multiplicity 1)
S: 0.0000 0.0000 0.2670 (multiplicity 1)
S: 0.3333 0.6667 0.8705 (multiplicity 1)



No. 4
Density functional theory data (PBE) for a relaxed Pm4In3Ga crystal.

Output
final energy	-34.337	eV/cell
DFT formation energy	-512	meV/atom

Unit cell a=3.7773 b=3.7773 c=15.4704 alpha=90.00 beta=90.00 gamma=90.00
Space group P4/mmm (No. 123)
One atom of each set of equivalent atoms:
Pm: 0.0000 0.0000 0.1148 (multiplicity 2)
Pm: 0.0000 0.0000 0.3713 (multiplicity 2)
In: 0.5000 0.5000 0.2434 (multiplicity 2)
In: 0.5000 0.5000 0.5000 (multiplicity 1)
Ga: 0.5000 0.5000 0.0000 (multiplicity 1)



No. 5
Density functional theory data (PBE) for a relaxed TlCrTe3As crystal.

Output
final energy	-53.015	eV/cell
raw formation energy	-0.074	eV per atom

Unit cell a=8.9985 b=3.6065 c=10.6827 alpha=90.00 beta=108.06 gamma=90.00
Space group P2_1/m (No. 11)
One atom of each set of equivalent atoms:
Tl: 0.2072 0.2500 0.3224 (multiplicity 2)
Cr: 0.3130 0.7500 0.8305 (multiplicity 2)
Te: 0.1283 0.2500 0.9075 (multiplicity 2)
Te: 0.3939 0.7500 0.6027 (multiplicity 2)
Te: 0.4436 0.7500 0.1083 (multiplicity 2)
As: 0.1588 0.2500 0.6707 (multiplicity 2)



No. 6
Density functional theory data (PBE) for a relaxed LaCe2CdN crystal.

Output
final energy	-29.385	eV/cell
raw formation energy	-0.670	eV per atom

Unit cell a=4.9088 b=4.9088 c=5.1690 alpha=90.00 beta=90.00 gamma=90.00
Space group P4/mmm (No. 123)
One atom of each set of equivalent atoms:
La: 0.0000 0.0000 0.0000 (multiplicity 1)
Ce: 0.0000 0.5000 0.5000 (multiplicity 2)
Cd: 0.5000 0.5000 0.0000 (multiplicity 1)
N: 0.0000 0.0000 0.5000 (multiplicity 1)



No. 7
Density functional theory data (PBE) for a relaxed CrOs2Rh6 crystal.

Output
final energy	-305.901	eV/cell
DFT formation energy	-32	meV/atom

Unit cell a=3.8172 b=11.4685 c=11.4757 alpha=90.00 beta=90.00 gamma=90.00
Space group Fmmm (No. 69)
One atom of each set of equivalent atoms:
Cr: 0.0000 0.0000 0.0000 (multiplicity 4)
Os: 0.0000 0.0000 0.3342 (multiplicity 8)
Rh: 0.0000 0.1590 0.5000 (multiplicity 8)
Rh: 0.0000 0.1613 0.1652 (multiplicity 16)



No. 8
Density functional theory data (PBE) for a relaxed GaPO crystal.

Output
final energy	-63.564	eV/cell
raw formation energy	-0.832	eV per atom

Unit cell a=7.3478 b=4.6977 c=6.8000 alpha=90.00 beta=115.12 gamma=90.00
Space group Cc (No. 9)
One atom of each set of equivalent atoms:
Ga: 0.0000 0.2250 0.0000 (multiplicity 4)
P: 0.3578 0.1261 0.1246 (multiplicity 4)
O: 0.3898 0.3558 0.9645 (multiplicity 4)



No. 9
Density functional theory data (PBE) for a relaxed PrEuTm2 crystal.

Output
final energy	-71.220	eV/cell
DFT formation energy	64	meV/atom

Unit cell a=3.6281 b=3.6281 c=35.3636 alpha=90.00 beta=90.00 gamma=120.00
Space group R-3m (No. 166, hexagonal axes)
One atom of each set of equivalent atoms:
Pr: 0.0000 0.0000 0.0000 (multiplicity 3)
Eu: 0.0000 0.0000 0.5000 (multiplicity 3)
Tm: 0.0000 0.0000 0.2523 (multiplicity 6)



No. 10
Density functional theory data (PBE) for a relaxed CuH12I6 crystal.

Output
final energy	-52.531	eV/cell

Unit cell a=5.9763 b=9.2615 c=9.2734 alpha=115.48 beta=102.32 gamma=102.32
Space group P-1 (No. 2)
One atom of each set of equivalent atoms:
Cu: 0.0000 0.0000 0.0000 (multiplicity 1)
H: 0.0370 0.7793 0.8463 (multiplicity 2)
H: 0.1292 0.8120 0.9359 (multiplicity 2)
H: 0.1900 0.1534 0.9323 (multiplicity 2)
H: 0.1923 0.0634 0.8755 (multiplicity 2)
H: 0.2588 0.0671 0.2206 (multiplicity 2)
H: 0.3175 0.1234 0.1869 (multiplicity 2)
I: 0.2488 0.9934 0.5025 (multiplicity 2)
I: 0.2537 0.5025 0.5090 (multiplicity 2)
I: 0.2556 0.5095 0.0069 (multiplicity 2)



No. 11
Density functional theory data (PBE) for a relaxed PuTcOs crystal.

Output
final energy	-69.454	eV/cell
DFT formation energy	400	meV/atom

Unit cell a=3.3889 b=3.3889 c=9.0899 alpha=90.00 beta=90.00 gamma=90.00
Space group I4mm (No. 107)
One atom of each set of equivalent atoms:
Pu: 0.0000 0.0000 0.0000 (multiplicity 2)
Tc: 0.0000 0.0000 0.3295 (multiplicity 2)
Os: 0.0000 0.0000 0.6665 (multiplicity 2)



No. 12
Density functional theory data (PBE) for a relaxed SiTc2Hg crystal.

Output
final energy	-49.126	eV/cell
raw formation energy	0.473	eV per atom

Unit cell a=3.9358 b=3.9358 c=8.0031 alpha=90.00 beta=90.00 gamma=90.00
Space group I-4m2 (No. 119)
One atom of each set of equivalent atoms:
Si: 0.0000 0.0000 0.0000 (multiplicity 2)
Tc: 0.0000 0.0000 0.5000 (multiplicity 2)
Tc: 0.0000 0.5000 0.7500 (multiplicity 2)
Hg: 0.0000 0.5000 0.2500 (multiplicity 2)



No. 13
Density functional theory data (PBE) for a relaxed RbNpCdF6 crystal.

Output
final energy	-206.049	eV/cell
raw formation energy	-2.829	eV per atom

Unit cell a=8.0792 b=8.6337 c=12.0893 alpha=90.00 beta=90.00 gamma=90.00
Space group Imma (No. 74)
One atom of each set of equivalent atoms:
Rb: 0.0000 0.2500 0.0415 (multiplicity 4)
Np: 0.0000 0.0000 0.5000 (multiplicity 4)
Cd: 0.2500 0.2500 0.7500 (multiplicity 4)
F: 0.0000 0.2500 0.4303 (multiplicity 4)
F: 0.0000 0.2500 0.8186 (multiplicity 4)
F: 0.2106 0.0629 0.6143 (multiplicity 16)



No. 14
Density functional theory data (PBE) for a relaxed RbAl2Sn2 crystal.

Output
final energy	-31.599	eV/cell
DFT formation energy	132	meV/atom

Unit cell a=9.1720 b=9.1720 c=3.2795 alpha=90.00 beta=90.00 gamma=90.00
Space group P4/mbm (No. 127)
One atom of each set of equivalent atoms:
Rb: 0.0000 0.0000 0.0000 (multiplicity 2)
Al: 0.1423 0.3577 0.5000 (multiplicity 4)
Sn: 0.1365 0.6365 0.0000 (multiplicity 4)



No. 15
Density functional theory data (PBE) for a relaxed BaCr2Mo crystal.

Output
final energy	-57.741	eV/cell
DFT formation energy	783	meV/atom

Unit cell a=7.8046 b=3.9081 c=6.7008 alpha=90.00 beta=111.71 gamma=90.00
Space group Cm (No. 8)
One atom of each set of equivalent atoms:
Ba: 0.0000 0.0000 0.0000 (multiplicity 2)
Cr: 0.0117 0.5000 0.5232 (multiplicity 2)
Cr: 0.1874 0.0000 0.5754 (multiplicity 2)
Mo: 0.3167 0.5000 0.4294 (multiplicity 2)



No. 16
Density functional theory data (PBE) for a relaxed Sm2NpScSb4 crystal.

Output
final energy	-51.991	eV/cell
raw formation energy	-0.849	eV per atom

Unit cell a=7.5739 b=4.3800 c=7.5887 alpha=90.00 beta=109.31 gamma=90.00
Space group P2/m (No. 10)
One atom of each set of equivalent atoms:
Sm: 0.0000 0.0000 0.0000 (multiplicity 1)
Sm: 0.5000 0.5000 0.0000 (multiplicity 1)
Np: 0.0000 0.5000 0.5000 (multiplicity 1)
Sc: 0.5000 0.0000 0.5000 (multiplicity 1)
Sb: 0.2535 0.0000 0.7396 (multiplicity 2)
Sb: 0.2613 0.5000 0.2658 (multiplicity 2)



No. 17
Density functional theory data (PBE) for a relaxed DyMgAgIr crystal.

Output
final energy	-78.768	eV/cell
DFT formation energy	-446	meV/atom

Unit cell a=6.7755 b=6.7755 c=6.7755 alpha=90.00 beta=90.00 gamma=90.00
Space group F-43m (No. 216)
One atom of each set of equivalent atoms:
Dy: 0.0000 0.0000 0.0000 (multiplicity 4)
Mg: 0.0000 0.0000 0.5000 (multiplicity 4)
Ag: 0.2500 0.2500 0.2500 (multiplicity 4)
Ir: 0.2500 0.2500 0.7500 (multiplicity 4)



No. 18
Density functional theory data (PBE) for a relaxed Pm7In2Rh crystal.

Output
final energy	-179.026	eV/cell
DFT formation energy	133	meV/atom

Unit cell a=11.0475 b=11.0475 c=11.0475 alpha=90.00 beta=90.00 gamma=90.00
Space group Fm-3m (No. 225)
One atom of each set of equivalent atoms:
Pm: 0.0000 0.0000 0.0000 (multiplicity 4)
Pm: 0.0000 0.0000 0.2571 (multiplicity 24)
In: 0.2500 0.2500 0.2500 (multiplicity 8)
Rh: 0.0000 0.0000 0.5000 (multiplicity 4)



No. 19
Density functional theory data (PBE) for a relaxed Rb2SrI2Cl2 crystal.

Output
final energy	-47.303	eV/cell
raw formation energy	-1.892	eV per atom

Unit cell a=5.6638 b=5.6638 c=19.1309 alpha=90.00 beta=90.00 gamma=90.00
Space group I4/mmm (No. 139)
One atom of each set of equivalent atoms:
Rb: 0.0000 0.0000 0.1356 (multiplicity 4)
Sr: 0.0000 0.0000 0.5000 (multiplicity 2)
I: 0.0000 0.0000 0.3288 (multiplicity 4)
Cl: 0.0000 0.5000 0.0000 (multiplicity 4)



No. 20
Density functional theory data (PBE) for a relaxed Yb3Ge5 crystal.

Output
final energy	-32.394	eV/cell
DFT formation energy	-591	meV/atom

Unit cell a=6.8965 b=6.8965 c=4.2692 alpha=90.00 beta=90.00 gamma=120.00
Space group P-62m (No. 189)
One atom of each set of equivalent atoms:
Yb: 0.0000 0.6401 0.0000 (multiplicity 3)
Ge: 0.0000 0.2566 0.5000 (multiplicity 3)
Ge: 0.3333 0.6667 0.5000 (multiplicity 2)



No. 21
Density functional theory data (PBE) for a relaxed TaPbAu2 crystal.

Output
final energy	-42.277	eV/cell
DFT formation energy	244	meV/atom

Unit cell a=5.8876 b=8.6267 c=3.1695 alpha=90.00 beta=90.00 gamma=90.00
Space group Cmmm (No. 65)
One atom of each set of equivalent atoms:
Ta: 0.0000 0.0000 0.0000 (multiplicity 2)
Pb: 0.0000 0.5000 0.0000 (multiplicity 2)
Au: 0.2500 0.2500 0.5000 (multiplicity 4)



No. 22
Density functional theory data (PBE) for a relaxed Hg2AuS6 crystal.

Output
final energy	-56.103	eV/cell
raw formation energy	0.066	eV per atom

Unit cell a=6.1454 b=8.4121 c=9.4827 alpha=90.00 beta=92.71 gamma=90.00
Space group P2_1/c (No. 14)
One atom of each set of equivalent atoms:
Hg: 0.0803 0.0436 0.1359 (multiplicity 4)
Au: 0.5000 0.0000 0.0000 (multiplicity 2)
S: 0.0068 0.1766 0.3666 (multiplicity 4)
S: 0.3079 0.6303 0.0904 (multiplicity 4)
S: 0.4963 0.6909 0.6816 (multiplicity 4)



No. 23
Density functional theory data (PBE) for a relaxed Er3AgPd crystal.

Output
final energy	-96.300	eV/cell
DFT formation energy	-468	meV/atom

Unit cell a=4.9947 b=19.3917 c=4.9888 alpha=90.00 beta=90.00 gamma=90.00
Space group Cmcm (No. 63)
One atom of each set of equivalent atoms:
Er: 0.0000 0.0672 0.2500 (multiplicity 4)
Er: 0.0000 0.2502 0.2500 (multiplicity 4)
Er: 0.0000 0.4326 0.2500 (multiplicity 4)
Ag: 0.0000 0.1578 0.7500 (multiplicity 4)
Pd: 0.0000 0.3387 0.7500 (multiplicity 4)



No. 24
Density functional theory data (PBE) for a relaxed SrNd3Sm2S6 crystal.

Output
final energy	-148.919	eV/cell
raw formation energy	-2.023	eV per atom

Unit cell a=7.0475 b=12.2180 c=7.0683 alpha=90.00 beta=109.34 gamma=90.00
Space group C2/m (No. 12)
One atom of each set of equivalent atoms:
Sr: 0.0000 0.0000 0.0000 (multiplicity 2)
Nd: 0.0000 0.1638 0.5000 (multiplicity 4)
Nd: 0.0000 0.5000 0.5000 (multiplicity 2)
Sm: 0.0000 0.3331 0.0000 (multiplicity 4)
S: 0.2429 0.5000 0.2449 (multiplicity 4)
S: 0.2475 0.3306 0.7503 (multiplicity 8)